1.
The following is a DFT calculation (PBE-GGA) of a relaxed BeMo5 crystal.

abc: 5.137 5.137 4.558
angles: 90.00 90.00 120.00
Sites, in units of the cell vectors:
1 Be 0.000 0.000 0.000
2 Mo 0.000 0.500 0.500
3 Mo 0.333 0.667 0.000
4 Mo 0.500 0.000 0.500
5 Mo 0.500 0.500 0.500
6 Mo 0.667 0.333 0.000

Computed properties:
Total moment in μB per cell: 0.00
Crystal system: hexagonal
Total DFT energy (no corrections) in eV per cell: -53.1

***

2.
The following is a DFT calculation (PBE-GGA) of a relaxed Ge2Bi2Os3 crystal.

abc: 8.330 8.330 8.330
angles: 30.87 30.87 30.87
Sites, in units of the cell vectors:
1 Ge 0.000 0.000 0.000
2 Ge 0.497 0.497 0.497
3 Bi 0.249 0.249 0.249
4 Bi 0.739 0.739 0.739
5 Os 0.119 0.119 0.119
6 Os 0.371 0.371 0.371
7 Os 0.857 0.857 0.857

Computed properties:
Total moment in μB per cell: 0.02
Crystal system: trigonal
Total DFT energy (no corrections) in eV per cell: -46.7

***

3.
The following is a DFT calculation (PBE-GGA) of a relaxed Li4IrO6 crystal.

abc: 5.984 5.984 5.984
angles: 90.94 90.94 90.94
Sites, in units of the cell vectors:
1 Li 0.080 0.750 0.420
2 Li 0.250 0.250 0.250
3 Li 0.250 0.580 0.920
4 Li 0.420 0.080 0.750
5 Li 0.580 0.920 0.250
6 Li 0.750 0.420 0.080
7 Li 0.750 0.750 0.750
8 Li 0.920 0.250 0.580
9 Ir 0.000 0.000 0.000
10 Ir 0.500 0.500 0.500
11 O 0.052 0.927 0.698
12 O 0.073 0.302 0.948
13 O 0.198 0.427 0.552
14 O 0.302 0.948 0.073
15 O 0.427 0.552 0.198
16 O 0.448 0.802 0.573
17 O 0.552 0.198 0.427
18 O 0.573 0.448 0.802
19 O 0.698 0.052 0.927
20 O 0.802 0.573 0.448
21 O 0.927 0.698 0.052
22 O 0.948 0.073 0.302

Computed properties:
Total moment in μB per cell: 0.00
Crystal system: trigonal
Total DFT energy (no corrections) in eV per cell: -119.0

***

4.
The following is a DFT calculation (PBE-GGA) of a relaxed Li2NiSn2Pt crystal.

abc: 4.557 4.557 5.580
angles: 90.00 90.00 120.00
Sites, in units of the cell vectors:
1 Li 0.000 0.000 0.250
2 Li 0.000 0.000 0.750
3 Ni 0.667 0.333 0.000
4 Sn 0.333 0.667 0.000
5 Sn 0.667 0.333 0.500
6 Pt 0.333 0.667 0.500

Computed properties:
Total moment in μB per cell: 0.00
Crystal system: hexagonal
Total DFT energy (no corrections) in eV per cell: -26.3